#a
The following is a GGA-PBE calculation of a relaxed structure of Cs2TlHgAu, from Alexandria via LeMat-Bulk.

Cell: 9.007 5.472 9.317 Å, 90.00 111.52 90.00°
Space group P2_1/m (No. 11)
Symmetry-distinct sites (fractional):
Cs1 0.101 0.250 0.341 x2
Cs2 0.298 0.250 0.957 x2
Tl1 0.442 0.750 0.328 x2
Hg1 0.372 0.750 0.628 x2
Au1 0.106 0.750 0.081 x2

Summary:
The total moment is 0.00 Bohr magnetons per cell. Its density is 6.7 g/cm3.


#b
The following is a GGA-PBE calculation of a relaxed structure of Cs2TlHgAu, from Alexandria via LeMat-Bulk.

Cell: 7.013 7.013 5.379 Å, 90.00 90.00 90.00°
Space group P4/mmm (No. 123)
Symmetry-distinct sites (fractional):
Cs1 0.000 0.500 0.000 x2
Tl1 0.000 0.000 0.500 x1
Hg1 0.500 0.500 0.500 x1
Au1 0.000 0.000 0.000 x1

Summary:
The total moment is 0.00 Bohr magnetons per cell. Its density is 5.4 g/cm3.


Which one is the least stable? From the structures above, #b.